[1]
First-principles (PBEsol) data for Sn2Rh3S2 after structural relaxation, as listed in Alexandria.

Geometry as POSCAR:
```
Sn2Rh3S2
1.0
2.807 1.621 4.418
-2.807 1.621 4.418
0.000 -3.242 4.418
Sn Rh S
2 3 2
Cartesian
0.000 0.000 0.000
0.000 0.000 6.628
-1.404 -0.810 4.418
-1.404 0.810 8.837
0.000 1.621 4.418
0.000 0.000 2.799
0.000 0.000 10.456
```

Magnetic moment: 0.00 μB per formula unit
Volume: 121 Å³/cell
Uncorrected formation energy: -0.553 eV/atom
Space group: No. 166



[2]
First-principles (PBEsol) data for Li2ZnSn after structural relaxation, as listed in Alexandria.

Geometry as POSCAR:
```
Li2ZnSn
1.0
6.416 0.000 0.000
0.000 6.416 0.000
0.000 0.000 6.416
Li Zn Sn
8 4 4
Cartesian
0.000 0.000 0.000
0.000 3.208 3.208
1.604 1.604 1.604
1.604 4.812 4.812
3.208 0.000 3.208
3.208 3.208 0.000
4.812 1.604 4.812
4.812 4.812 1.604
1.604 1.604 4.812
1.604 4.812 1.604
4.812 1.604 1.604
4.812 4.812 4.812
0.000 0.000 3.208
0.000 3.208 0.000
3.208 0.000 0.000
3.208 3.208 3.208
```

Magnetic moment: 0.00 μB per formula unit
Volume: 264 Å³/cell
ΔE_f: -1.4 eV/f.u.
Space group: No. 216



[3]
First-principles (PBEsol) data for SiS2 after structural relaxation, as listed in Alexandria.

Geometry as POSCAR:
```
SiS2
1.0
6.254 0.000 0.000
0.000 7.873 0.000
-1.341 0.000 5.643
Si S
4 8
Cartesian
0.586 1.063 0.665
-0.085 2.874 3.486
4.998 4.999 2.157
4.327 6.810 4.978
0.737 4.766 2.898
1.407 7.043 0.076
0.886 1.111 2.785
0.215 2.825 5.606
4.698 5.047 0.037
4.027 6.762 2.858
3.506 0.829 5.567
4.176 3.107 2.745
```

Magnetic moment: 0.00 μB per formula unit
Volume: 278 Å³/cell
Uncorrected formation energy: -0.663 eV/atom
Space group: No. 14



[4]
First-principles (PBEsol) data for YZnMo2Se after structural relaxation, as listed in Alexandria.

Geometry as POSCAR:
```
YZnMo2Se
1.0
4.585 0.000 0.000
0.000 4.585 0.000
0.000 0.000 5.159
Y Zn Mo Se
1 1 2 1
Cartesian
0.000 0.000 0.000
2.293 2.293 0.000
0.000 2.293 2.579
2.293 0.000 2.579
0.000 0.000 2.579
```

Magnetic moment: 0.00 μB per formula unit
Volume: 108 Å³/cell
Uncorrected formation energy: 0.705 eV/atom
Space group: No. 123